VASP calculation (PBE-GGA) on crystalline GePtSe at its relaxed geometry.

The structure in CIF format:
```
data_GePtSe
_cell_length_a 6.3380
_cell_length_b 6.1044
_cell_length_c 6.2566
_cell_angle_alpha 90.00
_cell_angle_beta 102.25
_cell_angle_gamma 90.00
_space_group_name_H-M_alt 'P 1 21/c 1'
_space_group_IT_number 14
loop_
_space_group_symop_operation_xyz
'x,y,z'
'-x,-y,-z'
'-x,y+1/2,-z+1/2'
'x,-y+1/2,z+1/2'
loop_
_atom_site_label
_atom_site_type_symbol
_atom_site_fract_x
_atom_site_fract_y
_atom_site_fract_z
_atom_site_occupancy
Ge1 Ge 0.1371 0.1231 0.3601 1
Pt1 Pt 0.2411 0.0095 0.7504 1
Se1 Se 0.3459 0.6227 0.6570 1
```

***

VASP calculation (PBE-GGA) on crystalline Ge2PtSe6 at its relaxed geometry.

The structure in CIF format:
```
data_Ge2PtSe6
_cell_length_a 12.1551
_cell_length_b 11.1858
_cell_length_c 6.5635
_cell_angle_alpha 90.00
_cell_angle_beta 100.23
_cell_angle_gamma 90.00
_space_group_name_H-M_alt 'C 1 2/c 1'
_space_group_IT_number 15
loop_
_space_group_symop_operation_xyz
'x,y,z'
'-x,-y,-z'
'-x,y,-z+1/2'
'x,-y,z+1/2'
'x+1/2,y+1/2,z'
'-x+1/2,-y+1/2,-z'
'-x+1/2,y+1/2,-z+1/2'
'x+1/2,-y+1/2,z+1/2'
loop_
_atom_site_label
_atom_site_type_symbol
_atom_site_fract_x
_atom_site_fract_y
_atom_site_fract_z
_atom_site_occupancy
Ge1 Ge 0.1880 0.0834 0.3264 1
Pt1 Pt 0.0000 0.4037 0.2500 1
Se1 Se 0.1022 0.4132 0.6255 1
Se2 Se 0.1161 0.0965 0.6433 1
Se3 Se 0.1233 0.2528 0.1105 1
```

***

VASP calculation (PBE-GGA) on crystalline Sm6Ge2PtSe3 at its relaxed geometry.

The structure in CIF format:
```
data_Sm6Ge2PtSe3
_cell_length_a 18.4916
_cell_length_b 4.1913
_cell_length_c 8.4959
_cell_angle_alpha 90.00
_cell_angle_beta 104.74
_cell_angle_gamma 90.00
_space_group_name_H-M_alt 'C 1 2/m 1'
_space_group_IT_number 12
loop_
_space_group_symop_operation_xyz
'x,y,z'
'-x,-y,-z'
'-x,y,-z'
'x,-y,z'
'x+1/2,y+1/2,z'
'-x+1/2,-y+1/2,-z'
'-x+1/2,y+1/2,-z'
'x+1/2,-y+1/2,z'
loop_
_atom_site_label
_atom_site_type_symbol
_atom_site_fract_x
_atom_site_fract_y
_atom_site_fract_z
_atom_site_occupancy
Sm1 Sm 0.0018 0.0000 0.2439 1
Sm2 Sm 0.1652 0.5000 0.0900 1
Sm3 Sm 0.1692 0.5000 0.5775 1
Ge1 Ge 0.1653 0.0000 0.3315 1
Pt1 Pt 0.0000 0.5000 0.0000 1
Se1 Se 0.0000 0.5000 0.5000 1
Se2 Se 0.1680 0.0000 0.8331 1
```

***

VASP calculation (PBE-GGA) on crystalline Sm6GePt2Se3 at its relaxed geometry.

The structure in CIF format:
```
data_Sm6GePt2Se3
_cell_length_a 18.6385
_cell_length_b 4.1395
_cell_length_c 8.5662
_cell_angle_alpha 90.00
_cell_angle_beta 106.36
_cell_angle_gamma 90.00
_space_group_name_H-M_alt 'C 1 2/m 1'
_space_group_IT_number 12
loop_
_space_group_symop_operation_xyz
'x,y,z'
'-x,-y,-z'
'-x,y,-z'
'x,-y,z'
'x+1/2,y+1/2,z'
'-x+1/2,-y+1/2,-z'
'-x+1/2,y+1/2,-z'
'x+1/2,-y+1/2,z'
loop_
_atom_site_label
_atom_site_type_symbol
_atom_site_fract_x
_atom_site_fract_y
_atom_site_fract_z
_atom_site_occupancy
Sm1 Sm 0.0021 0.0000 0.2464 1
Sm2 Sm 0.1654 0.5000 0.0936 1
Sm3 Sm 0.1712 0.5000 0.5730 1
Ge1 Ge 0.0000 0.5000 0.0000 1
Pt1 Pt 0.1669 0.0000 0.3333 1
Se1 Se 0.0000 0.5000 0.5000 1
Se2 Se 0.1646 0.0000 0.8351 1
```

***

VASP calculation (PBE-GGA) on crystalline Tb4GePtSe2 at its relaxed geometry.

The structure in CIF format:
```
data_Tb4GePtSe2
_cell_length_a 7.0640
_cell_length_b 4.1037
_cell_length_c 7.3430
_cell_angle_alpha 90.00
_cell_angle_beta 109.05
_cell_angle_gamma 90.00
_space_group_name_H-M_alt 'P 1 2/m 1'
_space_group_IT_number 10
loop_
_space_group_symop_operation_xyz
'x,y,z'
'-x,-y,-z'
'-x,y,-z'
'x,-y,z'
loop_
_atom_site_label
_atom_site_type_symbol
_atom_site_fract_x
_atom_site_fract_y
_atom_site_fract_z
_atom_site_occupancy
Tb1 Tb 0.2412 0.0000 0.2353 1
Tb2 Tb 0.2539 0.5000 0.7597 1
Ge1 Ge 0.5000 0.0000 0.0000 1
Pt1 Pt 0.0000 0.5000 0.0000 1
Se1 Se 0.0000 0.0000 0.5000 1
Se2 Se 0.5000 0.5000 0.5000 1
```

***

VASP calculation (PBE-GGA) on crystalline Th6Ge2PtSe3 at its relaxed geometry.

The structure in CIF format:
```
data_Th6Ge2PtSe3
_cell_length_a 18.5338
_cell_length_b 4.2286
_cell_length_c 8.5923
_cell_angle_alpha 90.00
_cell_angle_beta 102.07
_cell_angle_gamma 90.00
_space_group_name_H-M_alt 'C 1 2/m 1'
_space_group_IT_number 12
loop_
_space_group_symop_operation_xyz
'x,y,z'
'-x,-y,-z'
'-x,y,-z'
'x,-y,z'
'x+1/2,y+1/2,z'
'-x+1/2,-y+1/2,-z'
'-x+1/2,y+1/2,-z'
'x+1/2,-y+1/2,z'
loop_
_atom_site_label
_atom_site_type_symbol
_atom_site_fract_x
_atom_site_fract_y
_atom_site_fract_z
_atom_site_occupancy
Th1 Th 0.0017 0.0000 0.2348 1
Th2 Th 0.1638 0.5000 0.0874 1
Th3 Th 0.1690 0.5000 0.5787 1
Ge1 Ge 0.1664 0.0000 0.3338 1
Pt1 Pt 0.0000 0.5000 0.0000 1
Se1 Se 0.0000 0.5000 0.5000 1
Se2 Se 0.1679 0.0000 0.8329 1
```

***

VASP calculation (PBE-GGA) on crystalline Th6GePt2Se3 at its relaxed geometry.

The structure in CIF format:
```
data_Th6GePt2Se3
_cell_length_a 18.6198
_cell_length_b 4.1658
_cell_length_c 8.7009
_cell_angle_alpha 90.00
_cell_angle_beta 102.90
_cell_angle_gamma 90.00
_space_group_name_H-M_alt 'C 1 2/m 1'
_space_group_IT_number 12
loop_
_space_group_symop_operation_xyz
'x,y,z'
'-x,-y,-z'
'-x,y,-z'
'x,-y,z'
'x+1/2,y+1/2,z'
'-x+1/2,-y+1/2,-z'
'-x+1/2,y+1/2,-z'
'x+1/2,-y+1/2,z'
loop_
_atom_site_label
_atom_site_type_symbol
_atom_site_fract_x
_atom_site_fract_y
_atom_site_fract_z
_atom_site_occupancy
Th1 Th 0.0039 0.0000 0.2459 1
Th2 Th 0.1649 0.5000 0.0969 1
Th3 Th 0.1698 0.5000 0.5680 1
Ge1 Ge 0.0000 0.5000 0.0000 1
Pt1 Pt 0.1675 0.0000 0.3329 1
Se1 Se 0.0000 0.5000 0.5000 1
Se2 Se 0.1640 0.0000 0.8335 1
```

***

VASP calculation (PBE-GGA) on crystalline Th8GePt3Se4 at its relaxed geometry.

The structure in CIF format:
```
data_Th8GePt3Se4
_cell_length_a 8.4640
_cell_length_b 8.4640
_cell_length_c 21.1744
_cell_angle_alpha 90.00
_cell_angle_beta 90.00
_cell_angle_gamma 120.00
_space_group_name_H-M_alt 'R -3 m'
_space_group_IT_number 166
_space_group_name_Hall '-R 3 2"'
loop_
_atom_site_label
_atom_site_type_symbol
_atom_site_fract_x
_atom_site_fract_y
_atom_site_fract_z
_atom_site_occupancy
Th1 Th 0.0000 0.0000 0.2408 1
Th2 Th 0.0036 0.5018 0.7543 1
Ge1 Ge 0.0000 0.0000 0.5000 1
Pt1 Pt 0.0000 0.5000 0.5000 1
Se1 Se 0.0000 0.0000 0.0000 1
Se2 Se 0.0000 0.5000 0.0000 1
```

***

VASP calculation (PBE-GGA) on crystalline Th8Ge3PtSe4 at its relaxed geometry.

The structure in CIF format:
```
data_Th8Ge3PtSe4
_cell_length_a 8.5847
_cell_length_b 8.5847
_cell_length_c 20.5980
_cell_angle_alpha 90.00
_cell_angle_beta 90.00
_cell_angle_gamma 120.00
_space_group_name_H-M_alt 'R -3 m'
_space_group_IT_number 166
_space_group_name_Hall '-R 3 2"'
loop_
_atom_site_label
_atom_site_type_symbol
_atom_site_fract_x
_atom_site_fract_y
_atom_site_fract_z
_atom_site_occupancy
Th1 Th 0.0000 0.0000 0.2473 1
Th2 Th 0.0043 0.5022 0.2459 1
Ge1 Ge 0.0000 0.5000 0.5000 1
Pt1 Pt 0.0000 0.0000 0.5000 1
Se1 Se 0.0000 0.0000 0.0000 1
Se2 Se 0.0000 0.5000 0.0000 1
```

***

VASP calculation (PBE-GGA) on crystalline Tl2GePtSe at its relaxed geometry.

The structure in CIF format:
```
data_Tl2GePtSe
_cell_length_a 5.4763
_cell_length_b 5.4763
_cell_length_c 4.8453
_cell_angle_alpha 90.00
_cell_angle_beta 90.00
_cell_angle_gamma 90.00
_space_group_name_H-M_alt 'P 4/m m m'
_space_group_IT_number 123
_space_group_name_Hall '-P 4 2'
loop_
_atom_site_label
_atom_site_type_symbol
_atom_site_fract_x
_atom_site_fract_y
_atom_site_fract_z
_atom_site_occupancy
Tl1 Tl 0.0000 0.5000 0.0000 1
Ge1 Ge 0.0000 0.0000 0.0000 1
Pt1 Pt 0.5000 0.5000 0.5000 1
Se1 Se 0.0000 0.0000 0.5000 1
```

***

VASP calculation (PBE-GGA) on crystalline Tm6Ge2PtSe3 at its relaxed geometry.

The structure in CIF format:
```
data_Tm6Ge2PtSe3
_cell_length_a 17.9215
_cell_length_b 4.0477
_cell_length_c 8.2176
_cell_angle_alpha 90.00
_cell_angle_beta 105.57
_cell_angle_gamma 90.00
_space_group_name_H-M_alt 'C 1 2/m 1'
_space_group_IT_number 12
loop_
_space_group_symop_operation_xyz
'x,y,z'
'-x,-y,-z'
'-x,y,-z'
'x,-y,z'
'x+1/2,y+1/2,z'
'-x+1/2,-y+1/2,-z'
'-x+1/2,y+1/2,-z'
'x+1/2,-y+1/2,z'
loop_
_atom_site_label
_atom_site_type_symbol
_atom_site_fract_x
_atom_site_fract_y
_atom_site_fract_z
_atom_site_occupancy
Tm1 Tm 0.0011 0.0000 0.2393 1
Tm2 Tm 0.1636 0.5000 0.0889 1
Tm3 Tm 0.1699 0.5000 0.5734 1
Ge1 Ge 0.1651 0.0000 0.3301 1
Pt1 Pt 0.0000 0.5000 0.0000 1
Se1 Se 0.0000 0.5000 0.5000 1
Se2 Se 0.1689 0.0000 0.8308 1
```

***

VASP calculation (PBE-GGA) on crystalline Tm8Ge3PtSe4 at its relaxed geometry.

The structure in CIF format:
```
data_Tm8Ge3PtSe4
_cell_length_a 8.1015
_cell_length_b 8.1015
_cell_length_c 20.2267
_cell_angle_alpha 90.00
_cell_angle_beta 90.00
_cell_angle_gamma 120.00
_space_group_name_H-M_alt 'R -3 m'
_space_group_IT_number 166
_space_group_name_Hall '-R 3 2"'
loop_
_atom_site_label
_atom_site_type_symbol
_atom_site_fract_x
_atom_site_fract_y
_atom_site_fract_z
_atom_site_occupancy
Tm1 Tm 0.0000 0.0000 0.2458 1
Tm2 Tm 0.0003 0.5001 0.2450 1
Ge1 Ge 0.0000 0.5000 0.5000 1
Pt1 Pt 0.0000 0.0000 0.5000 1
Se1 Se 0.0000 0.0000 0.0000 1
Se2 Se 0.0000 0.5000 0.0000 1
```

***

Calculated E (eV/atom), listed in the same order as above: -5.259, -4.176, -5.906, -6.038, -5.923, -7.111, -7.272, -7.311, -7.073, -3.092, -5.745, -5.705
Calculated total moment (μB per cell), listed in the same order as above: 0.00, 0.00, 0.00, 0.00, 0.00, 0.00, 0.00, 0.00, 0.00, 0.00, 0.00, 0.00